First-principles (PBE) data for a relaxed structure of PmNd6Sm3Ho2, as listed in Alexandria.

POSCAR file:
```
PmNd6Sm3Ho2
1.0
6.3137 -0.0008 0.0106
-3.1560 5.4683 0.0106
-1.0725 -1.8570 11.8299
Nd Sm Ho Pm
6 3 2 1
direct
0.5825 0.9166 0.7517
0.0834 0.4175 0.2483
0.2507 0.2507 0.7518
0.4175 0.0834 0.2483
0.9166 0.5825 0.7517
0.7493 0.7493 0.2482
0.8332 0.1668 0.5000
0.5000 0.5000 0.5000
0.1668 0.8332 0.5000
0.3334 0.6666 0.0000
0.6666 0.3334 0.0000
0.0000 0.0000 0.0000
```

Computed properties:
ΔE_f = 0.0129 eV/atom
V = 409 Å³ per cell


First-principles (PBE) data for a relaxed structure of Pm6Nd3SmHo2, as listed in Alexandria.

POSCAR file:
```
Pm6Nd3SmHo2
1.0
6.3013 -0.0008 0.0063
-3.1498 5.4576 0.0063
-1.0642 -1.8426 11.8572
Pm Nd Sm Ho
6 3 1 2
direct
0.5833 0.9172 0.7534
0.2512 0.2512 0.7535
0.7488 0.7488 0.2465
0.4167 0.0828 0.2466
0.9172 0.5833 0.7534
0.0828 0.4167 0.2466
0.8332 0.1668 0.5000
0.1668 0.8332 0.5000
0.5000 0.5000 0.5000
0.0000 0.0000 0.0000
0.3333 0.6667 0.0000
0.6667 0.3333 0.0000
```

Computed properties:
ΔE_f = 0.0150 eV/atom
V = 408 Å³ per cell


First-principles (PBE) data for a relaxed structure of PmNd2Sm5Ho, as listed in Alexandria.

POSCAR file:
```
PmNd2Sm5Ho
1.0
8.7775 0.0000 0.0000
0.0000 8.7775 0.0000
-4.3888 -4.3888 7.9953
Sm Nd Pm Ho
10 4 2 2
direct
0.1492 0.0714 0.7206
0.3508 0.8508 0.2794
0.4286 0.3508 0.2794
0.5000 0.5000 0.0000
0.6492 0.1492 0.7206
0.0000 0.0000 0.0000
0.8508 0.9286 0.2794
0.0714 0.5714 0.7206
0.9286 0.4286 0.2794
0.5714 0.6492 0.7206
0.8816 0.6184 0.0000
0.1184 0.3816 0.0000
0.3816 0.8816 0.0000
0.6184 0.1184 0.0000
0.7500 0.7500 0.5000
0.2500 0.2500 0.5000
0.2500 0.7500 0.5000
0.7500 0.2500 0.5000
```

Computed properties:
ΔE_f = 0.2707 eV/atom
V = 616 Å³ per cell


First-principles (PBE) data for a relaxed structure of PmNd6Sm2Ho, as listed in Alexandria.

POSCAR file:
```
PmNd6Sm2Ho
1.0
9.3563 -2.0785 -2.1570
0.7809 8.7198 -2.0504
0.7809 -2.3722 8.6379
Ho Nd Sm Pm
2 12 4 2
direct
0.7500 0.5908 0.4092
0.2500 0.4092 0.5908
0.1190 0.7062 0.4938
0.1879 0.5687 0.0129
0.8810 0.2938 0.5062
0.6190 0.4938 0.7062
0.3121 0.9871 0.4313
0.4454 0.2469 0.8809
0.0546 0.1191 0.7531
0.3810 0.5062 0.2938
0.5546 0.7531 0.1191
0.6879 0.0129 0.5687
0.9454 0.8809 0.2469
0.8121 0.4313 0.9871
0.0443 0.2976 0.1984
0.4557 0.8016 0.7024
0.5443 0.1984 0.2976
0.9557 0.7024 0.8016
0.2500 0.9776 0.0224
0.7500 0.0224 0.9776
```

Computed properties:
ΔE_f = 0.1129 eV/atom
V = 695 Å³ per cell


First-principles (PBE) data for a relaxed structure of Pm6NdSm3Ho2, as listed in Alexandria.

POSCAR file:
```
Pm6NdSm3Ho2
1.0
-4.2097 2.7079 3.7990
-1.9193 -3.8741 -4.5601
2.8633 -8.7734 7.6928
Pm Sm Ho Nd
6 3 2 1
direct
0.0834 0.4176 0.2487
0.2509 0.2509 0.7514
0.9166 0.5824 0.7513
0.4176 0.0834 0.2487
0.5824 0.9166 0.7513
0.7491 0.7491 0.2486
0.1669 0.8331 0.5000
0.5000 0.5000 0.5000
0.8331 0.1669 0.5000
0.6666 0.3334 0.0000
0.3334 0.6666 0.0000
0.0000 0.0000 0.0000
```

Computed properties:
ΔE_f = 0.0138 eV/atom
V = 405 Å³ per cell


First-principles (PBE) data for a relaxed structure of Pm3Nd6Sm2Ho, as listed in Alexandria.

POSCAR file:
```
Pm3Nd6Sm2Ho
1.0
6.3323 -0.0009 0.0041
-3.1654 5.4844 0.0041
-1.0662 -1.8461 11.8995
Sm Nd Ho Pm
2 6 1 3
direct
0.3333 0.6667 0.0000
0.6667 0.3333 0.0000
0.5845 0.9170 0.7517
0.7504 0.7504 0.2486
0.9170 0.5845 0.7517
0.2496 0.2496 0.7514
0.0830 0.4155 0.2483
0.4155 0.0830 0.2483
0.0000 0.0000 0.0000
0.5000 0.5000 0.5000
0.1666 0.8334 0.5000
0.8334 0.1666 0.5000
```

Computed properties:
ΔE_f = 0.0128 eV/atom
V = 413 Å³ per cell


First-principles (PBE) data for a relaxed structure of Pm2NdSm6Ho, as listed in Alexandria.

POSCAR file:
```
Pm2NdSm6Ho
1.0
9.3148 -2.1019 -2.1813
0.7896 8.6521 -2.0436
0.7896 -2.3628 8.5704
Sm Pm Nd Ho
12 4 2 2
direct
0.3131 0.9838 0.4298
0.0558 0.1216 0.7485
0.6196 0.4940 0.7065
0.9442 0.8784 0.2515
0.1196 0.7065 0.4940
0.8131 0.4298 0.9838
0.8804 0.2935 0.5060
0.6869 0.0162 0.5702
0.1869 0.5702 0.0162
0.3804 0.5060 0.2935
0.4442 0.2515 0.8784
0.5558 0.7485 0.1216
0.4564 0.8022 0.7010
0.9564 0.7010 0.8022
0.5436 0.1978 0.2990
0.0436 0.2990 0.1978
0.2500 0.9792 0.0208
0.7500 0.0208 0.9792
0.7500 0.5916 0.4084
0.2500 0.4084 0.5916
```

Computed properties:
ΔE_f = 0.1147 eV/atom
V = 682 Å³ per cell


First-principles (PBE) data for a relaxed structure of PmNdSmHo, as listed in Alexandria.

POSCAR file:
```
PmNdSmHo
1.0
3.6356 0.0000 0.0000
-1.8178 3.1485 0.0000
0.0000 0.0000 11.7108
Nd Ho Pm Sm
1 1 1 1
direct
0.6667 0.3333 0.1757
0.6667 0.3333 0.6740
0.3333 0.6667 0.9213
0.0000 0.0000 0.4283
```

Computed properties:
ΔE_f = 0.0076 eV/atom
V = 134 Å³ per cell
energy relative to the lowest polymorph listed for this composition = 0.0 meV per atom


no.,magnetic moment (Bohr magnetons per cell)
1,0.00
2,0.00
3,0.00
4,0.00
5,0.00
6,0.00
7,0.00
8,0.00